1.
# NaPtSe3

A geometry-optimized NaPtSe3 structure (PBE-GGA, Alexandria via LeMat-Bulk).

Summary:
Mass density = 5.79 Mg/m³
Space-group type = Pm-3m
D(E_F) = 5.6 states/eV/f.u.

Lattice parameters (Å, degrees): 5.0724 5.0724 5.0724 90.00 90.00 90.00
Closest atoms and distances in Å follow each position.
Sites, in units of the cell vectors:
Na  0.0000  0.0000  0.0000  12 Se 3.59
Pt  0.5000  0.5000  0.5000  6 Se 2.54
Se  0.0000  0.5000  0.5000  2 Pt 2.54
Se  0.5000  0.0000  0.5000  2 Pt 2.54
Se  0.5000  0.5000  0.0000  2 Pt 2.54

2.
# FeAg3Se

A geometry-optimized FeAg3Se structure (PBE-GGA, Alexandria via LeMat-Bulk).

Summary:
Mass density = 6.58 Mg/m³
Space-group type = Pm-3m
D(E_F) = 3.5 states/eV/f.u.

Lattice parameters (Å, degrees): 4.8718 4.8718 4.8718 90.00 90.00 90.00
Closest atoms and distances in Å follow each position.
Sites, in units of the cell vectors:
Fe  0.0000  0.0000  0.0000  6 Ag 2.44
Ag  0.0000  0.0000  0.5000  2 Fe 2.44
Ag  0.0000  0.5000  0.0000  2 Fe 2.44
Ag  0.5000  0.0000  0.0000  2 Fe 2.44
Se  0.5000  0.5000  0.5000  12 Ag 3.44

no.,total moment (Bohr magnetons per cell),energy above the lowest structure with this stoichiometry (kJ/mol of atoms),formation energy without anion corrections (eV per atom)
1,1.48,37.4,-0.01
2,3.00,0.7,0.94